[1]
# HgAsW GGA-PBEsol relaxed
# * spin magnetization: 0.0 μB per cell
# * energy above the lowest structure with this stoichiometry: 616 meV per atom
# * energy relative to the elements: 1.0020 eV/atom
data_HgAsW
_cell_length_a 6.125
_cell_length_b 6.125
_cell_length_c 6.125
_cell_angle_alpha 90.00
_cell_angle_beta 90.00
_cell_angle_gamma 90.00
_space_group_name_H-M_alt 'F -4 3 m'
_space_group_IT_number 216
_space_group_name_Hall 'F -4 2 3'
loop_
_atom_site_label
_atom_site_type_symbol
_atom_site_fract_x
_atom_site_fract_y
_atom_site_fract_z
Hg1 Hg 0.000 0.000 0.000
As1 As 0.250 0.250 0.250
W1 W 0.000 0.000 0.500


[2]
# Mn2GaNi GGA-PBEsol relaxed
# * spin magnetization: 2.2 μB per cell
# * energy relative to the elements: -0.1570 eV/atom
data_Mn2GaNi
_cell_length_a 3.722
_cell_length_b 3.722
_cell_length_c 6.717
_cell_angle_alpha 90.00
_cell_angle_beta 90.00
_cell_angle_gamma 90.00
_space_group_name_H-M_alt 'I -4 m 2'
_space_group_IT_number 119
_space_group_name_Hall 'I -4 -2'
loop_
_atom_site_label
_atom_site_type_symbol
_atom_site_fract_x
_atom_site_fract_y
_atom_site_fract_z
Mn1 Mn 0.000 0.000 0.000
Mn2 Mn 0.000 0.500 0.250
Ga1 Ga 0.000 0.500 0.750
Ni1 Ni 0.000 0.000 0.500


[3]
# La5Pt GGA-PBEsol relaxed
# * spin magnetization: 0.0 μB per cell
# * energy above the lowest structure with this stoichiometry: 118 meV per atom
# * energy relative to the elements: -0.2073 eV/atom
data_La5Pt
_cell_length_a 5.9272
_cell_length_b 5.9272
_cell_length_c 5.4905
_cell_angle_alpha 90.00
_cell_angle_beta 90.00
_cell_angle_gamma 120.00
_space_group_name_H-M_alt 'P -6 2 m'
_space_group_IT_number 189
_space_group_name_Hall 'P -6 -2'
loop_
_atom_site_label
_atom_site_type_symbol
_atom_site_fract_x
_atom_site_fract_y
_atom_site_fract_z
La1 La 0.0000 0.2986 0.0000
La2 La 0.3333 0.6667 0.5000
Pt1 Pt 0.0000 0.0000 0.5000


[4]
# BaInSb2Te GGA-PBEsol relaxed
# * spin magnetization: 0.0 μB per cell
# * E_form (uncorrected): -0.74 eV per formula unit
data_BaInSb2Te
_cell_length_a 5.558
_cell_length_b 5.558
_cell_length_c 5.775
_cell_angle_alpha 90.00
_cell_angle_beta 90.00
_cell_angle_gamma 90.00
_space_group_name_H-M_alt 'P 4/m m m'
_space_group_IT_number 123
_space_group_name_Hall '-P 4 2'
loop_
_atom_site_label
_atom_site_type_symbol
_atom_site_fract_x
_atom_site_fract_y
_atom_site_fract_z
Ba1 Ba 0.000 0.000 0.000
In1 In 0.500 0.500 0.500
Sb1 Sb 0.000 0.500 0.500
Te1 Te 0.500 0.500 0.000


[5]
# LiAgHg GGA-PBEsol relaxed
# * spin magnetization: 0.0 μB per cell
# * energy above the lowest structure with this stoichiometry: 20 meV per atom
# * energy relative to the elements: -0.2225 eV/atom
data_LiAgHg
_cell_length_a 4.5445
_cell_length_b 4.5445
_cell_length_c 2.8772
_cell_angle_alpha 90.00
_cell_angle_beta 90.00
_cell_angle_gamma 120.00
_space_group_name_H-M_alt 'P 3 m 1'
_space_group_IT_number 156
loop_
_space_group_symop_operation_xyz
'x,y,z'
'-y,x-y,z'
'-x+y,-x,z'
'-y,-x,z'
'-x+y,y,z'
'x,x-y,z'
loop_
_atom_site_label
_atom_site_type_symbol
_atom_site_fract_x
_atom_site_fract_y
_atom_site_fract_z
Li1 Li 0.0000 0.0000 0.0000
Ag1 Ag 0.6667 0.3333 0.2807
Hg1 Hg 0.3333 0.6667 0.6909


[6]
# ZrBeBr GGA-PBEsol relaxed
# * spin magnetization: 0.0 μB per cell
# * E_form (uncorrected): -0.17 eV per formula unit
data_ZrBeBr
_cell_length_a 3.2989
_cell_length_b 3.2989
_cell_length_c 6.5492
_cell_angle_alpha 90.00
_cell_angle_beta 90.00
_cell_angle_gamma 120.00
_space_group_name_H-M_alt 'P 3 m 1'
_space_group_IT_number 156
loop_
_space_group_symop_operation_xyz
'x,y,z'
'-y,x-y,z'
'-x+y,-x,z'
'-y,-x,z'
'-x+y,y,z'
'x,x-y,z'
loop_
_atom_site_label
_atom_site_type_symbol
_atom_site_fract_x
_atom_site_fract_y
_atom_site_fract_z
Zr1 Zr 0.0000 0.0000 0.0000
Be1 Be 0.6667 0.3333 0.7139
Br1 Br 0.3333 0.6667 0.2940


[7]
# Be3NbO GGA-PBEsol relaxed
# * spin magnetization: 1.7 μB per cell
# * energy above the lowest structure with this stoichiometry: 0 meV per atom
# * E_form (uncorrected): -0.34 eV per formula unit
data_Be3NbO
_cell_length_a 3.700
_cell_length_b 3.700
_cell_length_c 3.700
_cell_angle_alpha 90.00
_cell_angle_beta 90.00
_cell_angle_gamma 90.00
_space_group_name_H-M_alt 'P m -3 m'
_space_group_IT_number 221
_space_group_name_Hall '-P 4 2 3'
loop_
_atom_site_label
_atom_site_type_symbol
_atom_site_fract_x
_atom_site_fract_y
_atom_site_fract_z
Be1 Be 0.000 0.000 0.500
Nb1 Nb 0.500 0.500 0.500
O1 O 0.000 0.000 0.000


[8]
# Te2PtPb GGA-PBEsol relaxed
# * spin magnetization: 0.0 μB per cell
# * E_form (uncorrected): -0.06 eV per formula unit
data_Te2PtPb
_cell_length_a 6.461
_cell_length_b 6.461
_cell_length_c 12.794
_cell_angle_alpha 90.00
_cell_angle_beta 90.00
_cell_angle_gamma 90.00
_space_group_name_H-M_alt 'I -4 2 d'
_space_group_IT_number 122
_space_group_name_Hall 'I -4 2bw'
loop_
_atom_site_label
_atom_site_type_symbol
_atom_site_fract_x
_atom_site_fract_y
_atom_site_fract_z
Te1 Te 0.190 0.250 0.125
Pt1 Pt 0.000 0.000 0.000
Pb1 Pb 0.000 0.000 0.500


[9]
# PbBrCl2 GGA-PBEsol relaxed
# * spin magnetization: 0.1 μB per cell
# * E_form (uncorrected): -2.27 eV per formula unit
data_PbBrCl2
_cell_length_a 10.570
_cell_length_b 4.109
_cell_length_c 5.511
_cell_angle_alpha 90.00
_cell_angle_beta 104.35
_cell_angle_gamma 90.00
_space_group_name_H-M_alt 'C 1 m 1'
_space_group_IT_number 8
loop_
_space_group_symop_operation_xyz
'x,y,z'
'x,-y,z'
'x+1/2,y+1/2,z'
'x+1/2,-y+1/2,z'
loop_
_atom_site_label
_atom_site_type_symbol
_atom_site_fract_x
_atom_site_fract_y
_atom_site_fract_z
Pb1 Pb 0.000 0.000 0.000
Br1 Br 0.269 0.000 0.930
Cl1 Cl 0.138 0.500 0.317
Cl2 Cl 0.456 0.000 0.614


[10]
# TcHg GGA-PBEsol relaxed
# * spin magnetization: 0.0 μB per cell
# * energy relative to the elements: 0.1891 eV/atom
data_TcHg
_cell_length_a 2.922
_cell_length_b 2.922
_cell_length_c 8.134
_cell_angle_alpha 90.00
_cell_angle_beta 90.00
_cell_angle_gamma 90.00
_space_group_name_H-M_alt 'P 4/n m m'
_space_group_IT_number 129
loop_
_space_group_symop_operation_xyz
'x,y,z'
'-x,-y,-z'
'-y+1/2,x,z'
'y+1/2,-x,-z'
'-x+1/2,-y+1/2,z'
'x+1/2,y+1/2,-z'
'y,-x+1/2,z'
'-y,x+1/2,-z'
'x+1/2,-y,-z'
'-x+1/2,y,z'
'-y,-x,-z'
'y,x,z'
'-x,y+1/2,-z'
'x,-y+1/2,z'
'y+1/2,x+1/2,-z'
'-y+1/2,-x+1/2,z'
loop_
_atom_site_label
_atom_site_type_symbol
_atom_site_fract_x
_atom_site_fract_y
_atom_site_fract_z
Tc1 Tc 0.250 0.250 0.088
Hg1 Hg 0.250 0.250 0.651


[11]
# Mg2CrC GGA-PBEsol relaxed
# * spin magnetization: 10.9 μB per cell
# * energy relative to the elements: 0.5152 eV/atom
data_Mg2CrC
_cell_length_a 8.243
_cell_length_b 8.243
_cell_length_c 3.883
_cell_angle_alpha 90.00
_cell_angle_beta 90.00
_cell_angle_gamma 90.00
_space_group_name_H-M_alt 'I -4 2 d'
_space_group_IT_number 122
_space_group_name_Hall 'I -4 2bw'
loop_
_atom_site_label
_atom_site_type_symbol
_atom_site_fract_x
_atom_site_fract_y
_atom_site_fract_z
Mg1 Mg 0.103 0.250 0.125
Cr1 Cr 0.000 0.000 0.500
C1 C 0.000 0.000 0.000


[12]
# VCr2O4 GGA-PBEsol relaxed
# * spin magnetization: 34.9 μB per cell
# * E_form (uncorrected): -12.56 eV per formula unit
data_VCr2O4
_cell_length_a 5.916
_cell_length_b 5.916
_cell_length_c 8.327
_cell_angle_alpha 90.00
_cell_angle_beta 90.00
_cell_angle_gamma 90.00
_space_group_name_H-M_alt 'I 41/a m d'
_space_group_IT_number 141
loop_
_space_group_symop_operation_xyz
'x,y,z'
'-x,-y,-z'
'-y+1/4,x+3/4,z+1/4'
'y+1/4,-x+3/4,-z+1/4'
'-x+1/2,-y,z+1/2'
'x+1/2,y,-z+1/2'
'y+1/4,-x+1/4,z+3/4'
'-y+1/4,x+1/4,-z+3/4'
'x,-y,-z'
'-x,y,z'
'-y+1/4,-x+1/4,-z+3/4'
'y+1/4,x+1/4,z+3/4'
'-x+1/2,y,-z+1/2'
'x+1/2,-y,z+1/2'
'y+1/4,x+3/4,-z+1/4'
'-y+1/4,-x+3/4,z+1/4'
'x+1/2,y+1/2,z+1/2'
'-x+1/2,-y+1/2,-z+1/2'
'-y+3/4,x+1/4,z+3/4'
'y+3/4,-x+1/4,-z+3/4'
'-x,-y+1/2,z'
'x,y+1/2,-z'
'y+3/4,-x+3/4,z+1/4'
'-y+3/4,x+3/4,-z+1/4'
'x+1/2,-y+1/2,-z+1/2'
'-x+1/2,y+1/2,z+1/2'
'-y+3/4,-x+3/4,-z+1/4'
'y+3/4,x+3/4,z+1/4'
'-x,y+1/2,-z'
'x,-y+1/2,z'
'y+3/4,x+1/4,-z+3/4'
'-y+3/4,-x+1/4,z+3/4'
loop_
_atom_site_label
_atom_site_type_symbol
_atom_site_fract_x
_atom_site_fract_y
_atom_site_fract_z
V1 V 0.000 0.250 0.375
Cr1 Cr 0.000 0.000 0.000
O1 O 0.000 0.019 0.759